[1]
This record from Alexandria via LeMat-Bulk describes a relaxed structure of Cr2TeRh. The functional is PBE.

Magnetization: 0.01 μB/f.u.
Energy relative to the elements, uncorrected: 0.43 eV/atom
Energy: -84.04 eV/cell
Volume: 15.595 A^3/atom

Lattice parameters (Å, degrees): 3.0007 3.0007 23.9981 90.00 90.00 120.00
Last column: nearest neighbours and their distance in Å.
Space group R3m (No. 160, hexagonal axes)
One atom of each set of equivalent atoms:
Cr 0.0000 0.0000 0.0000 [3 per cell]  3 Cr 2.34
Cr 0.0000 0.0000 0.2676 [3 per cell]  3 Cr 2.34
Te 0.0000 0.0000 0.5101 [3 per cell]  3 Cr 2.78, 3 Rh 2.86, 6 Te 3.00
Rh 0.0000 0.0000 0.7489 [3 per cell]  3 Cr 2.63, 3 Te 2.86

=====

[2]
This record from Alexandria via LeMat-Bulk describes a relaxed structure of Li2AcPm2Ga2. The functional is PBE.

Magnetization: 0.00 μB/f.u.
DFT formation energy: -285 meV per atom
Energy: -76.45 eV/cell
Volume: 26.130 A^3/atom

Lattice parameters (Å, degrees): 4.7707 4.7707 27.8390 90.00 90.00 120.00
Last column: nearest neighbours and their distance in Å.
Space group R-3m (No. 166, hexagonal axes)
One atom of each set of equivalent atoms:
Li 0.0000 0.0000 0.0896 [6 per cell]  3 Ga 2.76
Ac 0.0000 0.0000 0.5000 [3 per cell]  6 Li 3.49, 6 Ga 3.53, 2 Pm 3.59
Pm 0.0000 0.0000 0.3709 [6 per cell]  3 Ga 3.08, 3 Li 3.11
Ga 0.0000 0.0000 0.2463 [6 per cell]  3 Li 2.76, 3 Pm 3.08

=====

[3]
This record from Alexandria via LeMat-Bulk describes a relaxed structure of TcBF2. The functional is PBE.

Magnetization: 0.71 μB/f.u.
Energy above the lowest structure with this stoichiometry: 823.1 meV per atom
Energy relative to the elements, uncorrected: 0.47 eV/atom
Energy: -75.55 eV/cell
Volume: 10.505 A^3/atom

Lattice parameters (Å, degrees): 5.5187 5.5187 5.5187 90.00 90.00 90.00
Last column: nearest neighbours and their distance in Å.
Space group Fm-3m (No. 225)
One atom of each set of equivalent atoms:
Tc 0.0000 0.0000 0.0000 [4 per cell]  8 F 2.39
B 0.0000 0.0000 0.5000 [4 per cell]  8 F 2.39
F 0.2500 0.2500 0.2500 [8 per cell]  4 Tc 2.39, 4 B 2.39

=====

[4]
This record from Alexandria via LeMat-Bulk describes a relaxed structure of AgPb. The functional is PBE.

Magnetization: 0.00 μB/f.u.
DFT formation energy: 100 meV per atom
Energy: -38.16 eV/cell
Volume: 24.327 A^3/atom

Lattice parameters (Å, degrees): 11.4057 3.3724 8.1210 90.00 110.85 90.00
Last column: nearest neighbours and their distance in Å.
Space group Cm (No. 8)
One atom of each set of equivalent atoms:
Ag 0.0000 0.0000 0.0000 [2 per cell]  2 Ag 2.95, 5 Pb 3.10-3.13
Ag 0.0776 0.0000 0.5267 [2 per cell]  2 Ag 2.98, 7 Pb 3.17-3.33
Ag 0.4135 0.0000 0.2317 [2 per cell]  4 Ag 2.95-2.98, 3 Pb 3.09-3.18
Pb 0.1970 0.5000 0.2950 [2 per cell]  7 Ag 3.09-3.18, 5 Pb 3.37-3.43
Pb 0.2088 0.5000 0.8833 [2 per cell]  7 Ag 3.11-3.41, 4 Pb 3.37-3.44
Pb 0.3898 0.0000 0.6585 [2 per cell]  5 Ag 3.10-3.33, 5 Pb 3.37-3.44

=====

[5]
This record from Alexandria via LeMat-Bulk describes a relaxed structure of Nd2Zn16Ru. The functional is PBE.

Magnetization: 0.00 μB/f.u.
DFT formation energy: -235 meV per atom
Energy: -131.00 eV/cell
Volume: 16.464 A^3/atom

Lattice parameters (Å, degrees): 9.0524 9.0524 13.2241 90.00 90.00 120.00
Last column: nearest neighbours and their distance in Å.
Space group R3m (No. 160, hexagonal axes)
One atom of each set of equivalent atoms:
Nd 0.0000 0.0000 0.0000 [3 per cell]  19 Zn 3.17-3.54
Nd 0.0000 0.0000 0.3317 [3 per cell]  1 Ru 3.05, 15 Zn 3.25-3.31
Zn 0.0000 0.0000 0.7605 [3 per cell]  1 Ru 2.62, 12 Zn 2.82-2.91
Zn 0.9998 0.2846 0.6577 [18 per cell]  8 Zn 2.56-2.81, 1 Ru 2.87
Zn 0.0006 0.5003 0.8104 [9 per cell]  8 Zn 2.59-2.81, 1 Ru 2.85
Zn 0.0090 0.5045 0.1587 [9 per cell]  9 Zn 2.56-2.82, 1 Ru 2.71
Zn 0.1716 0.3431 0.8428 [9 per cell]  9 Zn 2.61-2.90
Ru 0.0000 0.0000 0.5624 [3 per cell]  13 Zn 2.62-2.87

=====

[6]
This record from Alexandria via LeMat-Bulk describes a relaxed structure of PmNdErMg. The functional is PBE.

Magnetization: 0.00 μB/f.u.
DFT formation energy: -30 meV per atom
Energy above the lowest structure with this stoichiometry: 0.0 meV per atom
Energy: -15.80 eV/cell
Volume: 30.890 A^3/atom

Lattice parameters (Å, degrees): 3.6698 3.6698 9.1747 90.00 90.00 90.00
Last column: nearest neighbours and their distance in Å.
Space group P4mm (No. 99)
One atom of each set of equivalent atoms:
Pm 0.0000 0.0000 0.0000 [1 per cell]  4 Mg 3.37, 4 Nd 3.64, 4 Pm 3.67
Nd 0.5000 0.5000 0.2784 [1 per cell]  4 Er 3.57, 4 Pm 3.64, 4 Nd 3.67
Er 0.0000 0.0000 0.5456 [1 per cell]  4 Mg 3.28, 4 Nd 3.57, 4 Er 3.67
Mg 0.5000 0.5000 0.7651 [1 per cell]  4 Er 3.28, 4 Pm 3.37, 4 Mg 3.67